Here is a geometry-optimized K2CdSi structure from Alexandria. Energies are from GGA-PBE.

space-group type = Cmmm, No. 65

a = 5.985 Å, b = 5.985 Å, c = 3.996 Å
α = 90.00°, β = 90.00°, γ = 116.75°
Fractional coordinates of all 4 atoms:
1 K 0.000 0.500 0.000
2 K 0.500 0.000 0.000
3 Cd 0.000 0.000 0.500
4 Si 0.500 0.500 0.500

---

Here is a geometry-optimized K2Cd2Si structure from Alexandria. Energies are from GGA-PBE.

space-group type = I4/mmm, No. 139

a = 11.079 Å, b = 11.079 Å, c = 11.079 Å
α = 158.82°, β = 158.82°, γ = 30.12°
Fractional coordinates of all 5 atoms:
1 K 0.094 0.094 0.000
2 K 0.906 0.906 0.000
3 Cd 0.250 0.750 0.500
4 Cd 0.750 0.250 0.500
5 Si 0.500 0.500 0.000

---

Here is a geometry-optimized KCdSi2 structure from Alexandria. Energies are from GGA-PBE.

space-group type = Cm, No. 8

a = 3.904 Å, b = 3.904 Å, c = 8.501 Å
α = 103.26°, β = 103.26°, γ = 59.99°
Fractional coordinates of all 4 atoms:
1 K 0.000 0.000 0.000
2 Cd 0.780 0.780 0.343
3 Si 0.231 0.231 0.691
4 Si 0.533 0.533 0.598

---

Here is a geometry-optimized K2CdSi structure from Alexandria. Energies are from GGA-PBE.

space-group type = I-42d, No. 122

a = 9.566 Å, b = 9.566 Å, c = 9.566 Å
α = 93.96°, β = 93.96°, γ = 149.55°
Fractional coordinates of all 8 atoms:
1 K 0.375 0.100 0.225
2 K 0.850 0.625 0.725
3 K 0.875 0.150 0.775
4 K 0.900 0.125 0.275
5 Cd 0.250 0.750 0.500
6 Cd 0.500 0.500 0.000
7 Si 0.000 0.000 0.000
8 Si 0.750 0.250 0.500

---

Here is a geometry-optimized KCdSi2 structure from Alexandria. Energies are from GGA-PBE.

space-group type = Cmmm, No. 65

a = 5.944 Å, b = 5.944 Å, c = 2.795 Å
α = 90.00°, β = 90.00°, γ = 118.48°
Fractional coordinates of all 4 atoms:
1 K 0.000 0.000 0.000
2 Cd 0.500 0.500 0.000
3 Si 0.000 0.500 0.500
4 Si 0.500 0.000 0.500

---

Here is a geometry-optimized K2Cd2Si structure from Alexandria. Energies are from GGA-PBE.

space-group type = P4/mbm, No. 127

a = 10.226 Å, b = 10.226 Å, c = 3.163 Å
α = 90.00°, β = 90.00°, γ = 90.00°
Fractional coordinates of all 10 atoms:
1 K 0.191 0.309 0.000
2 K 0.309 0.809 0.000
3 K 0.691 0.191 0.000
4 K 0.809 0.691 0.000
5 Cd 0.103 0.603 0.500
6 Cd 0.397 0.103 0.500
7 Cd 0.603 0.897 0.500
8 Cd 0.897 0.397 0.500
9 Si 0.000 0.000 0.000
10 Si 0.500 0.500 0.000

---

Number 1: VASP energy -1.791 eV/atom, magnetization 0.00 μB per formula unit. Number 2: VASP energy -1.585 eV/atom, magnetization 0.56 μB per formula unit. Number 3: VASP energy -3.089 eV/atom, magnetization 0.00 μB per formula unit. Number 4: VASP energy -1.952 eV/atom, magnetization 0.00 μB per formula unit. Number 5: VASP energy -2.683 eV/atom, magnetization 0.00 μB per formula unit. Number 6: VASP energy -1.433 eV/atom, magnetization 0.00 μB per formula unit.